LiCdAg2: relaxed, GGA-PBE.

The space group is Imma (No. 74) and the conventional cell measures 6.2643, 7.6321 and 5.8178 Å, with angles of 90.00, 90.00 and 90.00 degrees. Symmetry generates all atoms from Li at (0.0000, 0.2500, 0.0006), Cd at (0.0000, 0.2500, 0.4980) and Ag at (0.2500, 0.0011, 0.7500).

=====

TbCoSi: relaxed, GGA-PBE.

The calculation puts the size of the total moment at 0.1 Bohr magnetons per cell.

The space group is Pnma (No. 62) and the conventional cell measures 6.9633, 4.2080 and 6.8259 Å, with angles of 90.00, 90.00 and 90.00 degrees. Symmetry generates all atoms from Tb at (0.0205, 0.2500, 0.1843), Co at (0.1430, 0.7500, 0.4322) and Si at (0.1927, 0.2500, 0.6074).

=====

GdMgZn: relaxed, GGA-PBE.

The calculation puts the size of the total moment at 0.0 Bohr magnetons per cell.

The space group is Cm (No. 8) and the conventional cell measures 9.0371, 5.0772 and 9.0719 Å, with angles of 90.00, 97.78 and 90.00 degrees. Symmetry generates all atoms from Gd at (0.0000, 0.0000, 0.0000), Gd at (0.0969, 0.5000, 0.4906), Gd at (0.2950, 0.0000, 0.7816), Mg at (0.1901, 0.5000, 0.1424), Mg at (0.3640, 0.0000, 0.1652), Mg at (0.4447, 0.5000, 0.6372), Zn at (0.1303, 0.5000, 0.8270), Zn at (0.2588, 0.0000, 0.4421) and Zn at (0.4615, 0.5000, 0.3278).

=====

PrGdZn6: relaxed, GGA-PBE.

As for the formation energy: -281 meV per atom. The calculation puts the size of the total moment at 0.0 Bohr magnetons per cell.

The space group is P4/mmm (No. 123) and the conventional cell measures 4.7573, 4.7573 and 6.7234 Å, with angles of 90.00, 90.00 and 90.00 degrees. Symmetry generates all atoms from Pr at (0.0000, 0.0000, 0.0000), Gd at (0.5000, 0.5000, 0.5000), Zn at (0.0000, 0.0000, 0.5000), Zn at (0.0000, 0.5000, 0.2581) and Zn at (0.5000, 0.5000, 0.0000).

=====

Gd4C2I5: relaxed, GGA-PBE.

The calculation puts the size of the total moment at 0.0 Bohr magnetons per cell.

The space group is Immm (No. 71) and the conventional cell measures 3.9640, 8.5815 and 20.2956 Å, with angles of 90.00, 90.00 and 90.00 degrees. Symmetry generates all atoms from Gd at (0.0000, 0.0000, 0.1423), Gd at (0.0000, 0.3122, 0.5000), C at (0.0000, 0.0000, 0.0347), I at (0.0000, 0.2284, 0.3432) and I at (0.0000, 0.5000, 0.0000).

=====

UTlHg: relaxed, GGA-PBE.

The distance to the lowest polymorph of the same formula comes out at 0.0 meV/atom. The calculation puts the size of the total moment at 12.0 Bohr magnetons per cell.

The space group is F-43m (No. 216) and the conventional cell measures 7.0603, 7.0603 and 7.0603 Å, with angles of 90.00, 90.00 and 90.00 degrees. Symmetry generates all atoms from U at (0.0000, 0.0000, 0.0000), Tl at (0.0000, 0.0000, 0.5000) and Hg at (0.2500, 0.2500, 0.7500).

=====

no.,calculated total energy (eV per atom)
1,-2.28
2,-6.43
3,-2.66
4,-2.41
5,-5.12
6,-4.13